Computed, not measured: crystalline Rb2NaI at its relaxed geometry at the PBE level of DFT.

Cell: 5.135 5.135 11.090 Å, 76.61 76.61 60.00°
Sites, in units of the cell vectors:
1 Rb 0.070 0.070 0.789
2 Rb 0.263 0.263 0.211
3 Na 0.500 0.500 0.500
4 I 0.667 0.667 0.000


Computed, not measured: crystalline RbNa2I3 at its relaxed geometry at the PBE level of DFT.

Cell: 7.068 9.516 9.516 Å, 110.36 90.00 90.00°
Sites, in units of the cell vectors:
1 Rb 0.250 0.258 0.742
2 Rb 0.750 0.742 0.258
3 Na 0.000 0.184 0.184
4 Na 0.500 0.184 0.184
5 Na 0.000 0.816 0.816
6 Na 0.500 0.816 0.816
7 I 0.750 0.104 0.896
8 I 0.750 0.159 0.431
9 I 0.250 0.431 0.159
10 I 0.750 0.569 0.841
11 I 0.250 0.841 0.569
12 I 0.250 0.896 0.104


Computed, not measured: crystalline RbNaI2 at its relaxed geometry at the PBE level of DFT.

Cell: 4.898 4.898 8.708 Å, 73.67 73.67 60.00°
Sites, in units of the cell vectors:
1 I 0.262 0.262 0.215
2 I 0.738 0.738 0.785
3 Na 0.000 0.000 0.000
4 Rb 0.500 0.500 0.500


Computed, not measured: crystalline Rb2NaI2 at its relaxed geometry at the PBE level of DFT.

Cell: 10.564 10.564 4.403 Å, 90.00 90.00 90.00°
Sites, in units of the cell vectors:
1 I 0.153 0.653 0.500
2 I 0.653 0.847 0.500
3 I 0.847 0.347 0.500
4 I 0.347 0.153 0.500
5 Na 0.000 0.000 0.000
6 Na 0.500 0.500 0.000
7 Rb 0.357 0.857 0.000
8 Rb 0.857 0.643 0.000
9 Rb 0.643 0.143 0.000
10 Rb 0.143 0.357 0.000


Electronic total energy: -1.858 -2.599 -2.705 -2.244 (eV/atom)
Raw formation energy: -0.657 -1.223 -1.358 -0.973 (eV per atom)
Energy relative to the lowest polymorph listed for this composition: 15 67 0 68 (meV/atom)